Material: Li2VFeP2H2O10
Method: DFT, PBE+U
State: optimized geometry

Values from the calculation:
Space-group type: P-1 (2)
Relative energy among the computed polymorphs, eV/atom: 0.000
V, Å³ per cell: 365.9

Geometry as CIF:
```
data_Li2VFeP2H2O10
_cell_length_a 5.447
_cell_length_b 7.398
_cell_length_c 10.163
_cell_angle_alpha 75.63
_cell_angle_beta 78.77
_cell_angle_gamma 105.99
_symmetry_space_group_name_H-M 'P 1'
_symmetry_Int_Tables_number 1
_symmetry_space_group_name_Hall 'P 1'
loop_
_atom_site_label
_atom_site_fract_x
_atom_site_fract_y
_atom_site_fract_z
_atom_site_occupancy
P1 0.978 0.108 0.663 1
O1 0.437 0.615 0.317 1
Li1 0.977 0.547 0.627 1
O2 0.102 0.325 0.558 1
O3 0.336 0.513 0.863 1
O4 0.163 0.987 0.637 1
O5 0.063 0.885 0.183 1
O6 0.629 0.304 0.419 1
V1 0.000 0.500 0.000 1
Li2 0.523 0.953 0.873 1
O7 0.563 0.385 0.683 1
P2 0.022 0.892 0.337 1
V2 0.500 0.000 0.500 1
O8 0.129 0.804 0.919 1
H1 0.619 0.340 0.320 1
P3 0.522 0.392 0.837 1
O9 0.398 0.175 0.942 1
O10 0.898 0.675 0.442 1
Fe1 0.500 0.500 0.500 1
O11 0.371 0.696 0.581 1
Li3 0.477 0.047 0.127 1
O12 0.871 0.196 0.081 1
O13 0.805 0.494 0.844 1
O14 0.602 0.825 0.058 1
O15 0.664 0.487 0.137 1
H2 0.381 0.660 0.680 1
H3 0.118 0.840 0.820 1
O16 0.305 0.993 0.344 1
O17 0.837 0.013 0.363 1
O18 0.195 0.506 0.156 1
O19 0.937 0.115 0.817 1
Fe2 0.000 0.000 0.000 1
O20 0.695 0.007 0.656 1
Li4 0.023 0.453 0.373 1
P4 0.478 0.608 0.163 1
H4 0.882 0.160 0.180 1
```